Below is a geometry-optimized Pm3Pr5Nd3 structure, with properties calculated at the PBE-GGA level.

Cell: 11.521 11.521 3.507 Å, 90.00 90.00 120.00°
Sites, in units of the cell vectors:
Pm: 0.000 0.840 0.000
Pm: 0.160 0.160 0.000
Pm: 0.840 0.000 0.000
Pr: 0.000 0.340 0.000
Pr: 0.333 0.667 0.000
Pr: 0.340 0.000 0.000
Pr: 0.660 0.660 0.000
Pr: 0.667 0.333 0.000
Nd: 0.000 0.598 0.500
Nd: 0.402 0.402 0.500
Nd: 0.598 0.000 0.500

M_tot (μB per formula unit): 0.0
SG: No. 189
Calculated formation energy (eV per atom): 0.289

***

Below is a geometry-optimized Pm2Pr12Nd structure, with properties calculated at the PBE-GGA level.

Cell: 6.660 6.660 25.826 Å, 90.00 90.00 90.00°
Sites, in units of the cell vectors:
Pm: 0.250 0.750 0.231
Pm: 0.250 0.750 0.769
Pm: 0.750 0.250 0.231
Pm: 0.750 0.250 0.769
Pr: 0.066 0.566 0.386
Pr: 0.066 0.934 0.614
Pr: 0.082 0.582 0.062
Pr: 0.082 0.918 0.938
Pr: 0.250 0.250 0.162
Pr: 0.250 0.250 0.285
Pr: 0.250 0.250 0.715
Pr: 0.250 0.250 0.838
Pr: 0.418 0.582 0.938
Pr: 0.418 0.918 0.062
Pr: 0.434 0.566 0.614
Pr: 0.434 0.934 0.386
Pr: 0.566 0.066 0.614
Pr: 0.566 0.434 0.386
Pr: 0.582 0.082 0.938
Pr: 0.582 0.418 0.062
Pr: 0.750 0.750 0.162
Pr: 0.750 0.750 0.285
Pr: 0.750 0.750 0.715
Pr: 0.750 0.750 0.838
Pr: 0.918 0.082 0.062
Pr: 0.918 0.418 0.938
Pr: 0.934 0.066 0.386
Pr: 0.934 0.434 0.614
Nd: 0.250 0.750 0.500
Nd: 0.750 0.250 0.500

M_tot (μB per formula unit): 0.0
SG: No. 125
Calculated formation energy (eV per atom): 0.295

***

Below is a geometry-optimized Pm4Pr6Nd structure, with properties calculated at the PBE-GGA level.

Cell: 8.766 8.766 8.766 Å, 127.68 127.68 77.14°
Sites, in units of the cell vectors:
Pm: 0.250 0.250 0.661
Pm: 0.411 0.750 0.000
Pm: 0.589 0.589 0.339
Pm: 0.750 0.411 0.000
Pr: 0.000 0.500 0.500
Pr: 0.040 0.584 0.000
Pr: 0.416 0.416 0.456
Pr: 0.500 0.000 0.500
Pr: 0.584 0.040 0.000
Pr: 0.960 0.960 0.544
Nd: 0.000 0.000 0.000

M_tot (μB per formula unit): 0.0
SG: No. 121
Calculated formation energy (eV per atom): 0.338

***

What is the calculated formation energy in the third record?
0.338 eV per atom